DFT (PBE) results for a relaxed structure of Ge2Pd5Pb2.

The space group is C2/m (No. 12) and the conventional cell measures 12.6519, 4.5574 and 7.3349 Å, with angles of 90.00, 116.00 and 90.00 degrees. Symmetry generates all atoms from Ge at (0.1065, 0.0000, 0.3748), Pd at (0.0000, 0.0000, 0.0000), Pd at (0.1056, 0.0000, 0.7075), Pd at (0.1835, 0.5000, 0.3690) and Pb at (0.1389, 0.5000, 0.9557).



DFT (PBE) results for a relaxed structure of Ge3PdPb.

The space group is Pm-3m (No. 221) and the conventional cell measures 4.9389, 4.9389 and 4.9389 Å, with angles of 90.00, 90.00 and 90.00 degrees. Symmetry generates all atoms from Ge at (0.0000, 0.0000, 0.5000), Pd at (0.0000, 0.0000, 0.0000) and Pb at (0.5000, 0.5000, 0.5000).

The value obtained for the energy relative to the lowest polymorph listed for this composition is 0 meV per atom.



Number 1: DFT total energy -0.3667 Ry/atom, formation enthalpy at 0 K -0.25 eV/atom. Number 2: DFT total energy -0.3167 Ry/atom, formation enthalpy at 0 K 0.24 eV/atom.